22
Lattice="9.963 0.000 0.000 0.000 5.427 -0.284 0.000 0.629 5.263" Properties=species:S:1:pos:R:3 comment="Li2Cr2F7 | the Alexandria database | PBE with a Hubbard U | optimized geometry" energy_ev_per_atom=-5.524 sg="P2_1/c, No. 14" pbc="T T T"
Li 8.698 1.066 3.481
Li 1.265 4.989 1.498
Li 6.247 0.752 0.850
Li 3.717 5.303 4.129
Cr 1.581 2.863 4.705
Cr 6.563 3.507 2.906
Cr 8.382 3.193 0.274
Cr 3.400 2.548 2.073
F 4.982 0.000 0.000
F 0.000 0.314 2.632
F 0.416 3.737 0.312
F 5.398 2.004 2.036
F 9.547 2.318 4.667
F 4.566 4.051 2.944
F 7.073 4.496 1.250
F 7.872 4.810 3.882
F 2.091 1.245 1.097
F 2.890 1.560 3.729
F 6.834 2.642 4.700
F 8.111 2.328 2.069
F 1.853 3.728 2.911
F 3.129 3.413 0.279